[1]
Here is crystalline BaTi2FeP at its relaxed geometry from Alexandria via LeMat-Bulk. Energies are from PBE.

POSCAR file:
```
BaTi2FeP
1.0
5.001 0.000 0.000
0.000 4.544 0.000
0.000 0.000 5.001
P Ti Ba Fe
1 2 1 1
Direct
0.500 0.500 0.500 P
0.000 0.000 0.500 Ti
0.500 0.000 0.000 Ti
0.000 0.000 0.000 Ba
0.000 0.500 0.000 Fe
```

The energy of formation is 2196 meV/atom. Its symmetry is P4/mmm (123). The calculation puts the volume at 22.732 A^3/atom. Its total energy is -20.61 eV/cell.

[2]
Here is crystalline Hf10GaPb6 at its relaxed geometry from Alexandria via LeMat-Bulk. Energies are from PBE.

POSCAR file:
```
Hf10GaPb6
1.0
-5.159 -2.585 1.197
3.757 -4.569 6.324
-3.477 7.740 1.729
Hf Ga Pb
10 1 6
Direct
0.762 0.746 0.746 Hf
0.762 0.000 0.254 Hf
0.762 0.254 0.000 Hf
0.238 0.254 0.254 Hf
0.238 0.000 0.746 Hf
0.238 0.746 0.000 Hf
0.500 0.333 0.667 Hf
0.500 0.667 0.333 Hf
0.000 0.667 0.333 Hf
0.000 0.333 0.667 Hf
0.500 0.000 0.000 Ga
0.745 0.390 0.390 Pb
0.745 0.000 0.610 Pb
0.745 0.610 0.000 Pb
0.255 0.610 0.610 Pb
0.255 0.000 0.390 Pb
0.255 0.390 0.000 Pb
```

The energy of formation is -102 meV/atom. Its symmetry is P-31m (162). The calculation puts the volume at 22.512 A^3/atom. Its total energy is -126.55 eV/cell.

[3]
Here is crystalline ZnCdPS2 at its relaxed geometry from Alexandria via LeMat-Bulk. Energies are from PBE.

POSCAR file:
```
ZnCdPS2
1.0
-4.390 1.793 0.700
-1.302 -4.051 2.206
1.349 1.743 3.998
P Zn S Cd
1 1 2 1
Direct
0.000 0.000 0.500 P
0.000 0.000 0.000 Zn
0.000 0.500 0.000 S
0.500 0.000 0.000 S
0.500 0.500 0.500 Cd
```

The uncorrected formation energy comes out at 0.580 eV per atom. Its symmetry is P4/mmm (123). The calculation puts the volume at 20.979 A^3/atom. For the offset from the most stable computed form, the calculation gives 0.00 kcal/mol of atoms. Its total energy is -12.95 eV/cell.

[4]
Here is crystalline CaAcLaHg at its relaxed geometry from Alexandria via LeMat-Bulk. Energies are from PBE.

POSCAR file:
```
CaAcLaHg
1.0
3.864 0.000 0.000
0.000 3.864 0.000
0.000 0.000 9.475
Ca Ac La Hg
1 1 1 1
Direct
0.500 0.500 0.766 Ca
0.000 0.000 0.080 Ac
0.500 0.500 0.364 La
0.000 0.000 0.575 Hg
```

The energy of formation is -252 meV/atom. Its symmetry is P4mm (99). The calculation puts the volume at 35.375 A^3/atom. For the offset from the most stable computed form, the calculation gives 0.00 kcal/mol of atoms. Its total energy is -12.35 eV/cell.

[5]
Here is crystalline InRuPb2Cl at its relaxed geometry from Alexandria via LeMat-Bulk. Energies are from PBE.

POSCAR file:
```
InRuPb2Cl
1.0
-4.408 2.637 -1.007
0.390 -1.281 -5.060
-2.798 -4.339 0.883
Pb Ru Cl In
2 1 1 1
Direct
0.000 0.500 0.000 Pb
0.500 0.000 0.000 Pb
0.000 0.000 0.000 Ru
0.500 0.500 0.500 Cl
0.000 0.000 0.500 In
```

The uncorrected formation energy comes out at -0.245 eV per atom. Its symmetry is P4/mmm (123). The calculation puts the volume at 28.700 A^3/atom. Its total energy is -22.50 eV/cell.

[6]
Here is crystalline U2CI2 at its relaxed geometry from Alexandria via LeMat-Bulk. Energies are from PBE.

POSCAR file:
```
U2CI2
1.0
-0.147 -3.024 2.297
1.936 -3.150 -0.880
9.533 2.054 6.458
U C I
2 1 2
Direct
0.706 0.193 0.395 U
0.294 0.807 0.605 U
0.000 0.500 0.500 C
0.446 0.908 0.199 I
0.554 0.092 0.801 I
```

The uncorrected formation energy comes out at -0.429 eV per atom. Its symmetry is C2/m (12). The calculation puts the volume at 28.795 A^3/atom. Its total energy is -37.04 eV/cell.

[7]
Here is crystalline Nd2SnAs3Rh4 at its relaxed geometry from Alexandria via LeMat-Bulk. Energies are from PBE.

POSCAR file:
```
Nd2SnAs3Rh4
1.0
4.198 0.000 0.000
0.000 4.198 0.000
0.000 0.000 10.883
Nd Sn As Rh
2 1 3 4
Direct
0.500 0.000 0.238 Nd
0.000 0.500 0.762 Nd
0.500 0.500 0.500 Sn
0.000 0.000 0.500 As
0.500 0.000 0.869 As
0.000 0.500 0.131 As
0.500 0.500 0.000 Rh
0.000 0.000 0.000 Rh
0.500 0.000 0.647 Rh
0.000 0.500 0.353 Rh
```

The energy of formation is -858 meV/atom. Its symmetry is P-4m2 (115). The calculation puts the volume at 19.183 A^3/atom. Its total energy is -65.48 eV/cell.

[8]
Here is crystalline CdCuPPb2 at its relaxed geometry from Alexandria via LeMat-Bulk. Energies are from PBE.

POSCAR file:
```
CdCuPPb2
1.0
-1.780 1.764 5.052
1.521 -4.111 1.972
5.045 2.329 0.964
Pb P Cu Cd
2 1 1 1
Direct
0.000 0.000 0.500 Pb
0.500 0.000 0.000 Pb
0.000 0.000 0.000 P
0.500 0.500 0.500 Cu
0.000 0.500 0.000 Cd
```

The energy of formation is 656 meV/atom. Its symmetry is P4/mmm (123). The calculation puts the volume at 30.573 A^3/atom. Its total energy is -14.56 eV/cell.

[9]
Here is crystalline TaGa3W at its relaxed geometry from Alexandria via LeMat-Bulk. Energies are from PBE.

POSCAR file:
```
TaGa3W
1.0
-4.429 0.750 1.673
-1.833 -1.965 -3.969
0.065 -4.307 2.102
Ga W Ta
3 1 1
Direct
0.000 0.500 0.000 Ga
0.000 0.000 0.500 Ga
0.500 0.000 0.000 Ga
0.000 0.000 0.000 W
0.500 0.500 0.500 Ta
```

The energy of formation is 1211 meV/atom. Its symmetry is Pm-3m (221). The calculation puts the volume at 22.027 A^3/atom. For the offset from the most stable computed form, the calculation gives 0.00 kcal/mol of atoms. Its total energy is -27.83 eV/cell.

[10]
Here is crystalline SmVFe4 at its relaxed geometry from Alexandria via LeMat-Bulk. Energies are from PBE.

POSCAR file:
```
SmVFe4
1.0
-2.152 0.909 -4.427
2.047 -1.806 -4.195
-2.259 -3.707 -2.492
Fe Sm V
4 1 1
Direct
0.624 0.624 0.128 Fe
0.624 0.128 0.624 Fe
0.624 0.624 0.624 Fe
0.128 0.624 0.624 Fe
0.000 0.000 0.000 Sm
0.250 0.250 0.250 V
```

The energy of formation is 74 meV/atom. Its symmetry is F-43m (216). The calculation puts the volume at 14.781 A^3/atom. Its total energy is -47.25 eV/cell.

[11]
Here is crystalline Na8CaTl6 at its relaxed geometry from Alexandria via LeMat-Bulk. Energies are from PBE.

POSCAR file:
```
Na8CaTl6
1.0
-4.938 2.635 2.651
-0.965 -0.650 6.083
5.467 12.171 5.320
Na Ca Tl
8 1 6
Direct
0.797 0.462 0.611 Na
0.870 0.203 0.389 Na
0.538 0.870 0.389 Na
0.333 0.333 0.000 Na
0.667 0.667 0.000 Na
0.462 0.130 0.611 Na
0.130 0.797 0.611 Na
0.203 0.538 0.389 Na
0.000 0.000 0.000 Ca
0.936 0.595 0.194 Tl
0.725 0.064 0.806 Tl
0.405 0.725 0.806 Tl
0.595 0.275 0.194 Tl
0.275 0.936 0.194 Tl
0.064 0.405 0.806 Tl
```

The energy of formation is -65 meV/atom. Its symmetry is R-3 (148). The calculation puts the volume at 30.803 A^3/atom. For the offset from the most stable computed form, the calculation gives 0.66 kcal/mol of atoms. Its total energy is -27.73 eV/cell.

[12]
Here is crystalline VInS3 at its relaxed geometry from Alexandria via LeMat-Bulk. Energies are from PBE.

POSCAR file:
```
VInS3
1.0
4.656 0.000 0.000
0.000 4.656 0.000
0.000 0.000 4.656
S In V
3 1 1
Direct
0.000 0.500 0.000 S
0.000 0.000 0.500 S
0.500 0.000 0.000 S
0.500 0.500 0.500 In
0.000 0.000 0.000 V
```

The uncorrected formation energy comes out at -0.332 eV per atom. Its symmetry is Pm-3m (221). The calculation puts the volume at 20.187 A^3/atom. For the offset from the most stable computed form, the calculation gives 0.00 kcal/mol of atoms. Its total energy is -25.90 eV/cell.

[13]
Here is crystalline KBa2Rh at its relaxed geometry from Alexandria via LeMat-Bulk. Energies are from PBE.

POSCAR file:
```
KBa2Rh
1.0
0.000 4.156 4.156
4.156 0.000 4.156
4.156 4.156 0.000
K Rh Ba
1 1 2
Direct
0.000 0.000 0.000 K
0.500 0.500 0.500 Rh
0.250 0.250 0.250 Ba
0.750 0.750 0.750 Ba
```

The energy of formation is 210 meV/atom. Its symmetry is Fm-3m (225). The calculation puts the volume at 35.883 A^3/atom. For the offset from the most stable computed form, the calculation gives 7.43 kcal/mol of atoms. Its total energy is -11.45 eV/cell.

[14]
Here is crystalline Ac3Zn3Rh2 at its relaxed geometry from Alexandria via LeMat-Bulk. Energies are from PBE.

POSCAR file:
```
Ac3Zn3Rh2
1.0
-0.559 -0.247 -4.150
4.556 -3.845 1.735
-11.255 -12.322 2.249
Ac Zn Rh
6 6 4
Direct
0.852 0.705 0.412 Ac
0.148 0.295 0.912 Ac
0.852 0.705 0.088 Ac
0.148 0.295 0.588 Ac
0.586 0.172 0.250 Ac
0.414 0.828 0.750 Ac
0.575 0.150 0.443 Zn
0.425 0.850 0.943 Zn
0.575 0.150 0.057 Zn
0.425 0.850 0.557 Zn
0.299 0.597 0.250 Zn
0.701 0.403 0.750 Zn
0.832 0.664 0.879 Rh
0.168 0.336 0.379 Rh
0.832 0.664 0.621 Rh
0.168 0.336 0.121 Rh
```

The energy of formation is -529 meV/atom. Its symmetry is Cmcm (63). The calculation puts the volume at 25.802 A^3/atom. Its total energy is -70.17 eV/cell.

[15]
Here is crystalline MgBeW2 at its relaxed geometry from Alexandria via LeMat-Bulk. Energies are from PBE.

POSCAR file:
```
MgBeW2
1.0
-0.662 2.936 -3.221
-4.328 -0.826 0.139
2.132 1.181 3.649
Be Mg W
1 1 2
Direct
0.499 0.501 0.000 Be
0.750 0.250 0.500 Mg
0.000 0.000 0.000 W
0.251 0.749 0.500 W
```

The energy of formation is 436 meV/atom. Its symmetry is C2 (5). The calculation puts the volume at 15.030 A^3/atom. For the offset from the most stable computed form, the calculation gives 3.29 kcal/mol of atoms. Its total energy is -29.48 eV/cell.

[16]
Here is crystalline Ho4HgSe5 at its relaxed geometry from Alexandria via LeMat-Bulk. Energies are from PBE.

POSCAR file:
```
Ho4HgSe5
1.0
-1.949 3.066 1.743
-2.000 -5.243 6.986
9.206 2.641 0.989
Ho Hg Se
4 1 5
Direct
0.328 0.929 0.655 Ho
0.016 0.731 0.033 Ho
0.672 0.071 0.345 Ho
0.984 0.269 0.967 Ho
0.500 0.000 0.000 Hg
0.872 0.756 0.744 Se
0.828 0.158 0.655 Se
0.172 0.842 0.345 Se
0.500 0.500 0.000 Se
0.128 0.244 0.256 Se
```

The uncorrected formation energy comes out at -1.478 eV per atom. Its symmetry is C2/m (12). The calculation puts the volume at 32.427 A^3/atom. Its total energy is -50.81 eV/cell.

[17]
Here is crystalline RbTlS2 at its relaxed geometry from Alexandria via LeMat-Bulk. Energies are from PBE.

POSCAR file:
```
RbTlS2
1.0
-2.599 7.497 1.138
-3.675 -0.381 1.843
3.519 -0.277 2.141
Tl S Rb
1 2 1
Direct
0.000 0.000 0.000 Tl
0.807 0.726 0.274 S
0.193 0.274 0.726 S
0.500 0.500 0.500 Rb
```

The uncorrected formation energy comes out at -0.525 eV per atom. Its symmetry is C2/m (12). The calculation puts the volume at 27.768 A^3/atom. For the offset from the most stable computed form, the calculation gives 2.57 kcal/mol of atoms. Its total energy is -13.69 eV/cell.

[18]
Here is crystalline BaAl3H at its relaxed geometry from Alexandria via LeMat-Bulk. Energies are from PBE.

POSCAR file:
```
BaAl3H
1.0
-0.444 4.296 1.915
-4.421 0.276 -1.644
-1.607 -1.946 3.994
H Ba Al
1 1 3
Direct
0.000 0.000 0.000 H
0.500 0.500 0.500 Ba
0.000 0.500 0.000 Al
0.000 0.000 0.500 Al
0.500 0.000 0.000 Al
```

Its symmetry is Pm-3m (221). The calculation puts the volume at 21.093 A^3/atom. For the offset from the most stable computed form, the calculation gives 0.00 kcal/mol of atoms. Its total energy is -14.94 eV/cell.

[19]
Here is crystalline MgVN2 at its relaxed geometry from Alexandria via LeMat-Bulk. Energies are from PBE.

POSCAR file:
```
MgVN2
1.0
1.844 0.000 5.785
-0.922 1.597 5.785
-0.922 -1.597 5.785
Mg V N
1 1 2
Direct
0.500 0.500 0.500 Mg
0.000 0.000 0.000 V
0.898 0.898 0.898 N
0.102 0.102 0.102 N
```

The uncorrected formation energy comes out at 0.174 eV per atom. Its symmetry is R-3m (166). The calculation puts the volume at 12.782 A^3/atom. Its total energy is -26.67 eV/cell.

[20]
Here is crystalline LaPmOs at its relaxed geometry from Alexandria via LeMat-Bulk. Energies are from PBE.

POSCAR file:
```
LaPmOs
1.0
3.499 0.000 0.000
0.000 3.499 0.000
-1.749 -1.749 7.054
Pm Os La
1 1 1
Direct
0.288 0.288 0.575 Pm
0.668 0.668 0.337 Os
0.044 0.044 0.088 La
```

The energy of formation is -60 meV/atom. Its symmetry is I4mm (107). The calculation puts the volume at 28.784 A^3/atom. For the offset from the most stable computed form, the calculation gives 0.92 kcal/mol of atoms. Its total energy is -21.09 eV/cell.